Record 1
AcCeTcN4: relaxed, GGA-PBE.

Values from the calculation:
Space group   Cmcm
Uncorrected formation energy   -0.8658 eV per atom
Electronic total energy   -8.539 eV per atom

Unit cell a=7.1143 b=7.1143 c=5.5687 alpha=90.00 beta=90.00 gamma=134.61
Last column: nearest neighbours and their distance in Å.
Element x y z (fractional)
1 Ac 0.1044 0.8956 0.7500  9 N 2.51-2.80
2 Ac 0.8956 0.1044 0.2500  9 N 2.51-2.80
3 Ce 0.3979 0.6021 0.7500  1 N 2.16
4 Ce 0.6021 0.3979 0.2500  1 N 2.16
5 Tc 0.2398 0.7602 0.2500  5 N 1.96-2.01
6 Tc 0.7602 0.2398 0.7500  5 N 1.96-2.01
7 N 0.0000 0.5000 0.0000  2 Tc 1.96
8 N 0.0000 0.5000 0.5000  2 Tc 1.96
9 N 0.0865 0.9135 0.2500  1 Tc 2.01
10 N 0.4378 0.5622 0.2500  1 Ce 2.16
11 N 0.5000 0.0000 0.0000  2 Tc 1.96
12 N 0.5000 0.0000 0.5000  2 Tc 1.96
13 N 0.5622 0.4378 0.7500  1 Ce 2.16
14 N 0.9135 0.0865 0.7500  1 Tc 2.01

***

Record 2
PmNd3YSc: relaxed, GGA-PBE.

Values from the calculation:
Space group   C2/m
Electronic total energy   -5.144 eV per atom
Energy of formation   0.1648 eV/atom

Unit cell a=10.8103 b=10.8103 c=6.6146 alpha=92.79 beta=92.79 gamma=30.95
Last column: nearest neighbours and their distance in Å.
Element x y z (fractional)
1 Pm 0.1516 0.1516 0.0386  1 Sc 3.01, 1 Nd 3.29
2 Pm 0.8484 0.8484 0.9614  1 Sc 3.01, 1 Nd 3.29
3 Nd 0.0179 0.0179 0.7520  1 Sc 3.10, 1 Pm 3.29, 2 Y 3.33, 2 Nd 3.38-3.40
4 Nd 0.2771 0.2771 0.7032  1 Sc 3.18, 1 Y 3.34, 1 Nd 3.44, 1 Pm 3.51
5 Nd 0.3413 0.3413 0.2334  2 Pm 3.41, 2 Sc 3.44, 2 Nd 3.44-3.69, 1 Y 3.78
6 Nd 0.6587 0.6587 0.7666  2 Pm 3.41, 2 Sc 3.44, 2 Nd 3.44-3.69, 1 Y 3.78
7 Nd 0.7229 0.7229 0.2968  1 Sc 3.18, 1 Y 3.34, 1 Nd 3.44, 1 Pm 3.51
8 Nd 0.9821 0.9821 0.2480  1 Sc 3.10, 1 Pm 3.29, 2 Y 3.33, 2 Nd 3.38-3.40
9 Y 0.4377 0.4377 0.7323  3 Nd 3.33-3.34, 2 Sc 3.56
10 Y 0.5623 0.5623 0.2677  3 Nd 3.33-3.34, 2 Sc 3.56
11 Sc 0.1370 0.1370 0.4894  1 Pm 3.01, 2 Nd 3.10-3.18
12 Sc 0.8630 0.8630 0.5106  1 Pm 3.01, 2 Nd 3.10-3.18

***

Record 3
CuBiSb2Rh: relaxed, GGA-PBE.

Values from the calculation:
Space group   P4/mmm
Uncorrected formation energy   0.5358 eV per atom
Electronic total energy   -4.179 eV per atom

Unit cell a=5.0130 b=5.0130 c=5.5990 alpha=90.00 beta=90.00 gamma=90.00
Last column: nearest neighbours and their distance in Å.
Element x y z (fractional)
1 Cu 0.0000 0.0000 0.0000  4 Bi 3.54, 8 Sb 3.76
2 Bi 0.5000 0.5000 0.0000  2 Rh 2.80
3 Sb 0.0000 0.5000 0.5000  2 Rh 2.51
4 Sb 0.5000 0.0000 0.5000  2 Rh 2.51
5 Rh 0.5000 0.5000 0.5000  4 Sb 2.51, 2 Bi 2.80

***

Record 4
Er2RuF: relaxed, GGA-PBE.

Values from the calculation:
Space group   R-3m
Uncorrected formation energy   -1.3000 eV per atom
Electronic total energy   -6.368 eV per atom

Unit cell a=7.4515 b=7.4515 c=7.4515 alpha=27.33 beta=27.33 gamma=27.33
Last column: nearest neighbours and their distance in Å.
Element x y z (fractional)
1 Er 0.2467 0.2467 0.2467  3 F 2.66, 3 Ru 2.76
2 Er 0.7533 0.7533 0.7533  3 F 2.66, 3 Ru 2.76
3 Ru 0.0000 0.0000 0.0000  6 Er 2.76
4 F 0.5000 0.5000 0.5000  6 Er 2.66

***

Record 5
BaMgCuHg2: relaxed, GGA-PBE.

Values from the calculation:
Space group   P4/mmm
Electronic total energy   -1.810 eV per atom
Energy of formation   -0.1661 eV/atom

Unit cell a=5.2262 b=5.2262 c=5.0388 alpha=90.00 beta=90.00 gamma=90.00
Last column: nearest neighbours and their distance in Å.
Element x y z (fractional)
1 Ba 0.0000 0.0000 0.0000  8 Hg 3.63, 4 Mg 3.70
2 Mg 0.5000 0.5000 0.0000  2 Cu 2.52
3 Cu 0.5000 0.5000 0.5000  2 Mg 2.52, 4 Hg 2.61
4 Hg 0.0000 0.5000 0.5000  2 Cu 2.61
5 Hg 0.5000 0.0000 0.5000  2 Cu 2.61

***

Record 6
PSeBr2: relaxed, GGA-PBE.

Values from the calculation:
Space group   C2/m
Uncorrected formation energy   0.5297 eV per atom
Energy above the lowest structure with this stoichiometry   587.5 meV per atom
Electronic total energy   -2.530 eV per atom

Unit cell a=5.0803 b=5.0803 c=5.0603 alpha=113.78 beta=113.78 gamma=100.66
Last column: nearest neighbours and their distance in Å.
Element x y z (fractional)
1 P 0.0000 0.0000 0.0000  4 Br 2.77
2 Se 0.5000 0.5000 0.0000  4 Br 2.77
3 Br 0.0000 0.5000 0.5000  2 Se 2.77, 2 P 2.77
4 Br 0.5000 0.0000 0.5000  2 Se 2.77, 2 P 2.77

***

Record 7
U3Tl4Te8Pt: relaxed, GGA-PBE.

Values from the calculation:
Space group   C2/m
Uncorrected formation energy   -0.4169 eV per atom
Electronic total energy   -5.073 eV per atom

Unit cell a=8.5331 b=8.5331 c=9.7527 alpha=115.88 beta=115.88 gamma=60.20
Last column: nearest neighbours and their distance in Å.
Element x y z (fractional)
1 U 0.0000 0.0000 0.0000  6 Te 3.07-3.09
2 U 0.0000 0.5000 0.0000  6 Te 3.07-3.09
3 U 0.5000 0.0000 0.0000  6 Te 3.07-3.09
4 Tl 0.0000 0.0000 0.5000  6 Te 3.58-3.63
5 Tl 0.0000 0.5000 0.5000  6 Te 3.41-3.46
6 Tl 0.5000 0.0000 0.5000  6 Te 3.41-3.46
7 Tl 0.5000 0.5000 0.5000  6 Te 3.40-3.45
8 Te 0.2404 0.2404 0.2206  3 U 3.09, 3 Tl 3.40-3.41
9 Te 0.2519 0.7276 0.2067  1 Pt 2.92, 2 U 3.07
10 Te 0.2724 0.7481 0.7933  1 Pt 2.92, 2 U 3.07
11 Te 0.2771 0.2771 0.7967  1 Pt 2.86, 2 U 3.08
12 Te 0.7229 0.7229 0.2033  1 Pt 2.86, 2 U 3.08
13 Te 0.7276 0.2519 0.2067  1 Pt 2.92, 2 U 3.07
14 Te 0.7481 0.2724 0.7933  1 Pt 2.92, 2 U 3.07
15 Te 0.7596 0.7596 0.7794  3 U 3.09, 3 Tl 3.40-3.41
16 Pt 0.5000 0.5000 0.0000  6 Te 2.86-2.92

***

Record 8
TlAg2Os: relaxed, GGA-PBE.

Values from the calculation:
Space group   I-4m2
Energy above the lowest structure with this stoichiometry   138.3 meV per atom
Electronic total energy   -4.051 eV per atom
Energy of formation   0.7734 eV/atom

Unit cell a=4.8587 b=4.8587 c=4.8587 alpha=126.04 beta=126.04 gamma=79.82
Last column: nearest neighbours and their distance in Å.
Element x y z (fractional)
1 Tl 0.0000 0.0000 0.0000  4 Os 2.89, 8 Ag 2.89-3.12
2 Ag 0.2500 0.7500 0.5000  4 Ag 2.89, 4 Tl 2.89, 4 Os 3.12
3 Ag 0.5000 0.5000 0.0000  4 Os 2.89, 4 Ag 2.89, 4 Tl 3.12
4 Os 0.7500 0.2500 0.5000  8 Ag 2.89-3.12, 4 Tl 2.89

***

Record 9
Ca2ScZn2Pd5: relaxed, GGA-PBE.

Values from the calculation:
Space group   P4/mbm
Electronic total energy   -4.577 eV per atom
Energy of formation   -0.6919 eV/atom

Unit cell a=10.0938 b=10.0938 c=3.6355 alpha=90.00 beta=90.00 gamma=90.00
Last column: nearest neighbours and their distance in Å.
Element x y z (fractional)
1 Ca 0.1738 0.3262 0.0000  3 Zn 2.88-3.05, 6 Pd 3.08-3.21
2 Ca 0.3262 0.8262 0.0000  3 Zn 2.88-3.05, 6 Pd 3.08-3.21
3 Ca 0.6738 0.1738 0.0000  3 Zn 2.88-3.05, 6 Pd 3.08-3.21
4 Ca 0.8262 0.6738 0.0000  3 Zn 2.88-3.05, 6 Pd 3.08-3.21
5 Sc 0.0000 0.0000 0.0000  8 Pd 2.82
6 Sc 0.5000 0.5000 0.0000  8 Pd 2.82
7 Zn 0.1248 0.6248 0.0000  6 Pd 2.54-2.58
8 Zn 0.3752 0.1248 0.0000  6 Pd 2.54-2.58
9 Zn 0.6248 0.8752 0.0000  6 Pd 2.54-2.58
10 Zn 0.8752 0.3752 0.0000  6 Pd 2.54-2.58
11 Pd 0.0000 0.5000 0.5000  4 Zn 2.54
12 Pd 0.0652 0.7966 0.5000  2 Zn 2.58, 2 Sc 2.82
13 Pd 0.2034 0.0652 0.5000  2 Zn 2.58, 2 Sc 2.82
14 Pd 0.2966 0.5652 0.5000  2 Zn 2.58, 2 Sc 2.82
15 Pd 0.4348 0.2966 0.5000  2 Zn 2.58, 2 Sc 2.82
16 Pd 0.5000 0.0000 0.5000  4 Zn 2.54
17 Pd 0.5652 0.7034 0.5000  2 Zn 2.58, 2 Sc 2.82
18 Pd 0.7034 0.4348 0.5000  2 Zn 2.58, 2 Sc 2.82
19 Pd 0.7966 0.9348 0.5000  2 Zn 2.58, 2 Sc 2.82
20 Pd 0.9348 0.2034 0.5000  2 Zn 2.58, 2 Sc 2.82

***

Record 10
TlIr: relaxed, GGA-PBE.

Values from the calculation:
Space group   P2_12_12_1
Electronic total energy   -5.068 eV per atom
Energy of formation   0.5460 eV/atom

Unit cell a=6.7602 b=7.1454 c=7.7862 alpha=90.00 beta=90.00 gamma=90.00
Last column: nearest neighbours and their distance in Å.
Element x y z (fractional)
1 Tl 0.0358 0.0588 0.1928  6 Ir 2.85-3.14
2 Tl 0.0566 0.2603 0.6545  3 Ir 2.73-2.78
3 Tl 0.4434 0.7397 0.1545  3 Ir 2.73-2.78
4 Tl 0.4642 0.9412 0.6928  6 Ir 2.85-3.14
5 Tl 0.5358 0.4412 0.8072  6 Ir 2.85-3.14
6 Tl 0.5566 0.2397 0.3455  3 Ir 2.73-2.78
7 Tl 0.9434 0.7603 0.8455  3 Ir 2.73-2.78
8 Tl 0.9642 0.5588 0.3072  6 Ir 2.85-3.14
9 Ir 0.0811 0.9014 0.5375  2 Ir 2.42-2.49
10 Ir 0.2493 0.5945 0.5780  2 Ir 2.42-2.49
11 Ir 0.2507 0.4055 0.0780  2 Ir 2.42-2.49
12 Ir 0.4189 0.0986 0.0375  2 Ir 2.42-2.49
13 Ir 0.5811 0.5986 0.4625  2 Ir 2.42-2.49
14 Ir 0.7493 0.9055 0.4220  2 Ir 2.42-2.49
15 Ir 0.7507 0.0945 0.9220  2 Ir 2.42-2.49
16 Ir 0.9189 0.4014 0.9625  2 Ir 2.42-2.49

***

Record 11
Ti3Al2V2: relaxed, GGA-PBE.

Values from the calculation:
Space group   C2/m
Electronic total energy   -7.219 eV per atom
Energy of formation   -0.1610 eV/atom

Unit cell a=4.9493 b=4.9493 c=6.2401 alpha=95.56 beta=95.56 gamma=45.72
Last column: nearest neighbours and their distance in Å.
Element x y z (fractional)
1 Ti 0.0000 0.0000 0.0000  4 Al 2.80, 6 Ti 2.82-2.88, 2 V 2.86
2 Ti 0.2877 0.2877 0.8495  3 V 2.71-2.80, 5 Ti 2.82-2.88, 4 Al 2.82-2.94
3 Ti 0.7123 0.7123 0.1505  3 V 2.71-2.80, 5 Ti 2.82-2.88, 4 Al 2.82-2.94
4 Al 0.4262 0.4262 0.2961  5 V 2.70-2.83, 1 Al 2.75, 6 Ti 2.80-2.94
5 Al 0.5738 0.5738 0.7039  5 V 2.70-2.83, 1 Al 2.75, 6 Ti 2.80-2.94
6 V 0.1453 0.1453 0.4292  5 Al 2.70-2.83, 4 Ti 2.71-2.86, 3 V 2.79-2.88
7 V 0.8547 0.8547 0.5708  5 Al 2.70-2.83, 4 Ti 2.71-2.86, 3 V 2.79-2.88

***

Record 12
PrYCd: relaxed, GGA-PBE.

Values from the calculation:
Space group   P3m1
Energy above the lowest structure with this stoichiometry   137.8 meV per atom
Electronic total energy   -4.134 eV per atom
Energy of formation   -0.0808 eV/atom

Unit cell a=5.3268 b=5.3268 c=3.6951 alpha=90.00 beta=90.00 gamma=120.00
Last column: nearest neighbours and their distance in Å.
Element x y z (fractional)
1 Pr 0.0000 0.0000 0.0000  3 Cd 3.32, 6 Y 3.48-3.71, 2 Pr 3.70
2 Y 0.3333 0.6667 0.4403  3 Cd 3.18, 3 Pr 3.48
3 Cd 0.6667 0.3333 0.6605  3 Y 3.18, 3 Pr 3.32